Compound: HoThCuRu
Source: the Alexandria database
Functional: PBE
Structure: relaxed

CIF file:
```
data_HoThCuRu
_space_group_name_H-M_alt 'F -4 3 m'
_space_group_IT_number 216
_space_group_name_Hall 'F -4 2 3'
_cell_length_a 7.004
_cell_length_b 7.004
_cell_length_c 7.004
_cell_angle_alpha 90.00
_cell_angle_beta 90.00
_cell_angle_gamma 90.00
loop_
_atom_site_label
_atom_site_type_symbol
_atom_site_fract_x
_atom_site_fract_y
_atom_site_fract_z
Ho1 Ho 0.000 0.000 0.000
Th1 Th 0.000 0.000 0.500
Cu1 Cu 0.250 0.250 0.250
Ru1 Ru 0.250 0.250 0.750
```

Output
* N(E_F): 0.99 states/eV per atom
* formation energy: -1.194 eV/f.u.

Compound: HoTmCuRu
Source: the Alexandria database
Functional: PBE
Structure: relaxed

CIF file:
```
data_HoTmCuRu
_space_group_name_H-M_alt 'F -4 3 m'
_space_group_IT_number 216
_space_group_name_Hall 'F -4 2 3'
_cell_length_a 6.805
_cell_length_b 6.805
_cell_length_c 6.805
_cell_angle_alpha 90.00
_cell_angle_beta 90.00
_cell_angle_gamma 90.00
loop_
_atom_site_label
_atom_site_type_symbol
_atom_site_fract_x
_atom_site_fract_y
_atom_site_fract_z
Ho1 Ho 0.000 0.000 0.000
Tm1 Tm 0.000 0.000 0.500
Cu1 Cu 0.250 0.250 0.750
Ru1 Ru 0.250 0.250 0.250
```

Output
* N(E_F): 0.66 states/eV per atom
* formation energy: -1.512 eV/f.u.

Compound: HoVCuRu
Source: the Alexandria database
Functional: PBE
Structure: relaxed

CIF file:
```
data_HoVCuRu
_space_group_name_H-M_alt 'F -4 3 m'
_space_group_IT_number 216
_space_group_name_Hall 'F -4 2 3'
_cell_length_a 6.439
_cell_length_b 6.439
_cell_length_c 6.439
_cell_angle_alpha 90.00
_cell_angle_beta 90.00
_cell_angle_gamma 90.00
loop_
_atom_site_label
_atom_site_type_symbol
_atom_site_fract_x
_atom_site_fract_y
_atom_site_fract_z
Ho1 Ho 0.000 0.000 0.000
V1 V 0.000 0.000 0.500
Cu1 Cu 0.250 0.250 0.250
Ru1 Ru 0.250 0.250 0.750
```

Output
* N(E_F): 0.95 states/eV per atom
* formation energy: -0.009 eV/f.u.

Compound: YHoCuRu
Source: the Alexandria database
Functional: PBE
Structure: relaxed

CIF file:
```
data_YHoCuRu
_space_group_name_H-M_alt 'F -4 3 m'
_space_group_IT_number 216
_space_group_name_Hall 'F -4 2 3'
_cell_length_a 6.865
_cell_length_b 6.865
_cell_length_c 6.865
_cell_angle_alpha 90.00
_cell_angle_beta 90.00
_cell_angle_gamma 90.00
loop_
_atom_site_label
_atom_site_type_symbol
_atom_site_fract_x
_atom_site_fract_y
_atom_site_fract_z
Y1 Y 0.000 0.000 0.000
Ho1 Ho 0.000 0.000 0.500
Cu1 Cu 0.250 0.250 0.750
Ru1 Ru 0.250 0.250 0.250
```

Output
* N(E_F): 0.76 states/eV per atom
* formation energy: -1.331 eV/f.u.